(1)
# CsCoPdC2

Crystalline CsCoPdC2 at its relaxed geometry (PBE, Alexandria via LeMat-Bulk).

The crystal system is tetragonal. The formation enthalpy at 0 K is 39.70 kcal/mol of atoms. The symmetry is P4/mmm (123).

abc: 3.7784 6.6218 3.7784
angles: 90.00 90.00 90.00
Last column: nearest neighbours and their distance in Å.
Fractional coordinates of all 5 atoms:
Cs1 0.0000 0.5000 0.0000  4 Pd 2.67
Pd1 0.5000 0.5000 0.5000  4 Cs 2.67
C1 0.0000 0.0000 0.5000  2 Co 1.89
C2 0.5000 0.0000 0.0000  2 Co 1.89
Co1 0.0000 0.0000 0.0000  4 C 1.89

=====

(2)
# ZrGa2Re

Crystalline ZrGa2Re at its relaxed geometry (PBE, Alexandria via LeMat-Bulk).

The crystal system is cubic. The formation enthalpy at 0 K is -3.16 kcal/mol of atoms. For the excess energy over the best structure of this formula in the dataset, the calculation gives 0.000 eV/atom. The symmetry is Fm-3m (225).

abc: 4.5218 4.5218 4.5218
angles: 60.00 60.00 60.00
Last column: nearest neighbours and their distance in Å.
Fractional coordinates of all 4 atoms:
Zr1 0.0000 0.0000 0.0000  8 Ga 2.77
Re1 0.5000 0.5000 0.5000  8 Ga 2.77
Ga1 0.7500 0.7500 0.7500  4 Re 2.77, 4 Zr 2.77
Ga2 0.2500 0.2500 0.2500  4 Zr 2.77, 4 Re 2.77

=====

(3)
# ZrNb3

Crystalline ZrNb3 at its relaxed geometry (PBE, Alexandria via LeMat-Bulk).

The crystal system is tetragonal. The formation enthalpy at 0 K is 3.83 kcal/mol of atoms. For the excess energy over the best structure of this formula in the dataset, the calculation gives 0.117 eV/atom. The symmetry is I4/mmm (139).

abc: 3.9554 3.9554 5.7149
angles: 110.25 110.25 90.00
Last column: nearest neighbours and their distance in Å.
Fractional coordinates of all 4 atoms:
Nb1 0.5000 0.5000 0.0000  4 Zr 2.80
Nb2 0.2500 0.7500 0.5000  4 Nb 2.80
Nb3 0.7500 0.2500 0.5000  4 Nb 2.80
Zr1 0.0000 0.0000 0.0000  4 Nb 2.80

=====

(4)
# Rb2Tl2I7

Crystalline Rb2Tl2I7 at its relaxed geometry (PBE, Alexandria via LeMat-Bulk).

The crystal system is monoclinic. As for the energy relative to the elements, uncorrected: -16.70 kcal/mol of atoms. The symmetry is P2_1/c (14).

abc: 7.1043 9.6584 18.6941
angles: 90.00 90.00 100.35
Last column: nearest neighbours and their distance in Å.
Fractional coordinates of all 22 atoms:
I1 0.9211 0.2529 0.2346  1 Tl 2.95
I2 0.4751 0.9365 0.6792  1 Tl 2.92
I3 0.7295 0.8971 0.9351  1 Tl 2.99
I4 0.4751 0.4365 0.8208  1 Tl 2.92
I5 0.0789 0.2471 0.7346  1 Tl 2.95
I6 0.0000 0.0000 0.5000  2 Tl 3.02
I7 0.0000 0.5000 0.0000  2 Tl 3.02
I8 0.9211 0.7529 0.2654  1 Tl 2.95
I9 0.5249 0.0635 0.3208  1 Tl 2.92
I10 0.2705 0.6029 0.4351  1 Tl 2.99
I11 0.0789 0.7471 0.7654  1 Tl 2.95
I12 0.5249 0.5635 0.1792  1 Tl 2.92
I13 0.2705 0.1029 0.0649  1 Tl 2.99
I14 0.7295 0.3971 0.5649  1 Tl 2.99
Rb1 0.6881 0.9487 0.1300  6 I 3.67-3.97
Rb2 0.6881 0.4487 0.3700  6 I 3.67-3.97
Rb3 0.3119 0.0513 0.8700  6 I 3.67-3.97
Rb4 0.3119 0.5513 0.6300  6 I 3.67-3.97
Tl1 0.8085 0.6246 0.8778  4 I 2.92-3.02
Tl2 0.1915 0.8754 0.3778  4 I 2.92-3.02
Tl3 0.8085 0.1246 0.6222  4 I 2.92-3.02
Tl4 0.1915 0.3754 0.1222  4 I 2.92-3.02

=====

The E_tot results, record by record, are as follows: -22.99; -27.60; -38.09; -50.96 eV per cell.
The total magnetization results, record by record, are as follows: 0.14; 0.00; 0.00; 0.00 μB/cell.